1.
## ZrTa2Re (GGA-PBE)

Data for an optimized crystal structure of ZrTa2Re.

abc: 9.3003 9.3003 9.3003
angles: 19.04 19.04 19.04
Last column: nearest neighbours and their distance in Å.
Sites, in units of the cell vectors:
Ta  0.0053  0.0053  0.0053  3 Re 2.69, 3 Ta 2.92
Ta  0.2538  0.2538  0.2538  9 Ta 2.92-3.08, 3 Zr 3.08
Re  0.7457  0.7457  0.7457  3 Ta 2.69, 3 Zr 2.88
Zr  0.4952  0.4952  0.4952  3 Re 2.88, 6 Zr 3.08, 3 Ta 3.08

Calculated values
Space group: R3m (160)

---

2.
## ZrTaRe (GGA-PBE)

Data for an optimized crystal structure of ZrTaRe.

abc: 7.3285 7.1087 2.9189
angles: 82.60 74.14 23.26
Last column: nearest neighbours and their distance in Å.
Sites, in units of the cell vectors:
Zr  0.3403  0.3403  0.6597  2 Re 2.80, 4 Zr 2.92, 2 Ta 3.04
Ta  0.6550  0.6550  0.3450  2 Re 2.65, 4 Ta 2.92
Re  0.0047  0.0047  0.9953  2 Ta 2.65, 2 Zr 2.80, 4 Re 2.92

Calculated values
Distance to the lowest polymorph of the same formula: 292.7 meV per atom
Space group: Fmm2 (42)

---

Number 1: final energy -11.020 eV per atom, formation energy from the elements 3.59 kcal/mol of atoms, ρ 14.2 Mg/m³. Number 2: final energy -10.989 eV per atom, formation energy from the elements -0.91 kcal/mol of atoms, ρ 13.9 Mg/m³.